This record from Alexandria describes a relaxed structure of ScMo4. The functional is PBE.

Calculated values
VASP energy = -0.36459 hartree per atom
Energy of formation = 0.010 eV per atom
Energy relative to the lowest polymorph listed for this composition = 0.000 eV per atom
SG = No. 87

a = 3.185 Å, b = 5.346 Å, c = 5.346 Å
α = 95.09°, β = 107.33°, γ = 72.67°
Atoms (fractional coordinates):
Sc: 0.000 0.000 0.000
Mo: 0.811 0.795 0.417
Mo: 0.394 0.417 0.205
Mo: 0.189 0.205 0.583
Mo: 0.606 0.583 0.795